No. 1
Below is a relaxed Tl3CrRe crystal, with properties calculated at the PBE-GGA level.

The energy above the most stable polymorph in this dataset is 0 meV/atom. For the calculated volume, the calculation gives 150.7 Å³/f.u. The value obtained for the energy relative to the elements is 1.11 eV/atom.

The structure belongs to space group Pm-3m (No. 221); the cell edges are 5.3212, 5.3212 and 5.3212 Å and the angles 90.00°, 90.00° and 90.00°. The inequivalent atoms are Tl at (0.0000, 0.0000, 0.5000), Cr at (0.5000, 0.5000, 0.5000) and Re at (0.0000, 0.0000, 0.0000).

***

No. 2
Below is a relaxed Tl2CrRe2 crystal, with properties calculated at the PBE-GGA level.

The energy above the most stable polymorph in this dataset is 34 meV/atom. For the calculated volume, the calculation gives 108.9 Å³/f.u. The value obtained for the energy relative to the elements is 1.00 eV/atom.

The structure belongs to space group I4/mmm (No. 139); the cell edges are 3.5322, 3.5322 and 17.4566 Å and the angles 90.00°, 90.00° and 90.00°. The inequivalent atoms are Tl at (0.0000, 0.0000, 0.1063), Cr at (0.0000, 0.0000, 0.5000) and Re at (0.0000, 0.5000, 0.2500).

***

No. 3
Below is a relaxed TlCrRe4 crystal, with properties calculated at the PBE-GGA level.

For the calculated volume, the calculation gives 102.2 Å³/f.u. The value obtained for the energy relative to the elements is 0.73 eV/atom.

The structure belongs to space group F-43m (No. 216); the cell edges are 7.4212, 7.4212 and 7.4212 Å and the angles 90.00°, 90.00° and 90.00°. The inequivalent atoms are Tl at (0.0000, 0.0000, 0.0000), Cr at (0.2500, 0.2500, 0.7500) and Re at (0.1247, 0.1247, 0.3753).